[1]
Compound: NaMg6Nb
Source: the Alexandria database
Functional: PBE
Structure: relaxed

Lattice parameters (Å, degrees): 6.359 6.359 5.045 90.00 90.00 120.00
Positions (direct):
Na1 0.000 0.000 0.000
Mg1 0.018 0.509 0.000
Mg2 0.339 0.170 0.500
Mg3 0.491 0.509 0.000
Mg4 0.491 0.982 0.000
Mg5 0.830 0.170 0.500
Mg6 0.830 0.661 0.500
Nb1 0.333 0.667 0.500

Output
Space-group type = P-6m2

[2]
Compound: NaMg2Nb
Source: the Alexandria database
Functional: PBE
Structure: relaxed

Lattice parameters (Å, degrees): 6.352 6.352 6.352 103.52 103.52 122.17
Positions (direct):
Na1 0.000 0.000 0.000
Na2 0.750 0.250 0.500
Mg1 0.123 0.625 0.998
Mg2 0.375 0.373 0.498
Mg3 0.627 0.125 0.002
Mg4 0.875 0.877 0.502
Nb1 0.250 0.750 0.500
Nb2 0.500 0.500 0.000

Output
Space-group type = I-42d

Number 1: ΔE_f 173 meV/atom, calculated volume 177 Å³ per cell. Number 2: ΔE_f 861 meV/atom, calculated volume 190 Å³ per cell.